Entry 1:
This record from the Alexandria database describes a geometry-optimized InBi2Ru structure. The functional is PBE-GGA.

Results
Total magnetic moment   0.000 μB per atom
SG   R-3m

Lattice parameters (Å, degrees): 11.659 11.659 11.659 16.14 16.14 16.14
Fractional coordinates of all 4 atoms:
In  0.000  0.000  0.000
Bi  0.424  0.424  0.424
Bi  0.576  0.576  0.576
Ru  0.500  0.500  0.500

Entry 2:
This record from the Alexandria database describes a geometry-optimized NiSb2P structure. The functional is PBE-GGA.

Results
Total magnetic moment   0.000 μB per atom
Energy relative to the elements, uncorrected   1.06 eV/f.u.
SG   C2/m

Lattice parameters (Å, degrees): 4.794 4.794 4.724 111.32 111.32 106.35
Fractional coordinates of all 4 atoms:
Ni  0.000  0.000  0.000
Sb  0.000  0.500  0.500
Sb  0.500  0.000  0.500
P  0.500  0.500  0.000

Entry 3:
This record from the Alexandria database describes a geometry-optimized ZnOsI2N structure. The functional is PBE-GGA.

Results
Total magnetic moment   1.013 μB per atom
Energy relative to the elements, uncorrected   8.32 eV/f.u.
Energy above the most stable polymorph in this dataset   5.93 eV per formula unit
SG   P4/mmm

Lattice parameters (Å, degrees): 5.702 5.702 3.676 90.00 90.00 90.00
Fractional coordinates of all 5 atoms:
Zn  0.000  0.000  0.000
Os  0.500  0.500  0.500
I  0.000  0.500  0.000
I  0.500  0.000  0.000
N  0.000  0.000  0.500

Entry 4:
This record from the Alexandria database describes a geometry-optimized Sc2TiAsBr structure. The functional is PBE-GGA.

Results
Total magnetic moment   0.189 μB per atom
Energy relative to the elements, uncorrected   0.61 eV/f.u.
SG   P4/mmm

Lattice parameters (Å, degrees): 4.967 4.967 4.610 90.00 90.00 90.00
Fractional coordinates of all 5 atoms:
Sc  0.000  0.500  0.000
Sc  0.500  0.000  0.000
Ti  0.000  0.000  0.500
As  0.500  0.500  0.500
Br  0.000  0.000  0.000

Entry 5:
This record from the Alexandria database describes a geometry-optimized Cs3AcBr6 structure. The functional is PBE-GGA.

Results
Total magnetic moment   0.000 μB per atom
Energy relative to the elements, uncorrected   -19.23 eV/f.u.
Energy above the most stable polymorph in this dataset   0.00 eV per formula unit
SG   P2_1/c

Lattice parameters (Å, degrees): 8.688 9.217 14.891 90.00 124.18 90.00
Fractional coordinates of all 20 atoms:
Cs  0.000  0.000  0.000
Cs  0.000  0.500  0.500
Cs  0.214  0.071  0.744
Cs  0.214  0.429  0.244
Cs  0.786  0.571  0.756
Cs  0.786  0.929  0.256
Ac  0.500  0.000  0.500
Ac  0.500  0.500  0.000
Br  0.163  0.181  0.442
Br  0.163  0.319  0.942
Br  0.252  0.730  0.422
Br  0.252  0.770  0.922
Br  0.405  0.060  0.273
Br  0.405  0.440  0.773
Br  0.595  0.560  0.227
Br  0.595  0.940  0.727
Br  0.748  0.230  0.078
Br  0.748  0.270  0.578
Br  0.837  0.681  0.058
Br  0.837  0.819  0.558

Entry 6:
This record from the Alexandria database describes a geometry-optimized Ac4TeOsCl2 structure. The functional is PBE-GGA.

Results
Total magnetic moment   0.000 μB per atom
Energy relative to the elements, uncorrected   -9.08 eV/f.u.
SG   P2/m

Lattice parameters (Å, degrees): 7.805 4.404 8.431 90.00 108.22 90.00
Fractional coordinates of all 8 atoms:
Ac  0.214  0.000  0.206
Ac  0.234  0.500  0.784
Ac  0.766  0.500  0.216
Ac  0.786  0.000  0.794
Te  0.000  0.000  0.500
Os  0.000  0.500  0.000
Cl  0.500  0.000  0.000
Cl  0.500  0.500  0.500

| no. | calculated total energy (eV/atom) |
| --- | --- |
| 1 | -4.288 |
| 2 | -4.594 |
| 3 | -3.121 |
| 4 | -5.253 |
| 5 | -3.594 |
| 6 | -5.447 |